# BeTe2Ru

BeTe2Ru at its PBEsol-relaxed geometry (meta-GGA SCAN, the Alexandria database).

Cell: 4.4394 4.8247 7.2812 Å, 90.00 90.00 90.00°
Space group Amm2 (No. 38)
Symmetry-distinct sites (fractional):
Be 0.0000 0.0000 0.0000 (multiplicity 2)
Te 0.0000 0.0000 0.6518 (multiplicity 2)
Te 0.5000 0.0000 0.2129 (multiplicity 2)
Ru 0.5000 0.0000 0.8563 (multiplicity 2)

Calculated values
* raw formation energy: 0.17 eV/f.u.



# BeTeRu3

BeTeRu3 at its PBEsol-relaxed geometry (meta-GGA SCAN, the Alexandria database).

Cell: 4.6983 4.6983 4.6983 Å, 90.00 90.00 90.00°
Space group Pm-3m (No. 221)
Symmetry-distinct sites (fractional):
Be 0.0000 0.0000 0.0000 (multiplicity 1)
Te 0.5000 0.5000 0.5000 (multiplicity 1)
Ru 0.0000 0.5000 0.5000 (multiplicity 3)

Calculated values
* offset from the most stable computed form: 1.4322 eV/atom
* raw formation energy: 9.24 eV/f.u.